{
  "formula": "SrLiNb",
  "functional": "PBE-GGA",
  "state": "relaxed",
  "n_ef_per_ev_fu": 3.7,
  "polymorph_energy_mev_per_atom": 646,
  "e_tot_ev_per_cell": -10.8,
  "magmom_total_mub_per_atom": 0.55,
  "formation_enthalpy_0k_kj_per_mol_atoms": 92.7,
  "lattice": [[4.772, -2.755, 0.000], [0.000, 5.511, 0.000], [0.000, 0.000, 2.916]],
  "species": ["Sr", "Li", "Nb"],
  "frac_coords": [[0.000, 0.000, 0.000], [0.667, 0.333, 0.500], [0.333, 0.667, 0.000]]
}